## ErZr2Sc3 (PBE)

Data for crystalline ErZr2Sc3 at its relaxed geometry.

```
ErZr2Sc3
1.0
-0.272 1.386 -2.870
1.879 -7.772 -3.931
-10.071 -2.939 -0.464
Zr Er Sc
4 2 6
Direct
0.750 0.551 0.129
0.750 0.088 0.378
0.250 0.449 0.871
0.250 0.912 0.622
0.750 0.244 0.645
0.250 0.756 0.355
0.750 0.761 0.861
0.250 0.239 0.139
0.750 0.601 0.615
0.250 0.399 0.385
0.750 0.925 0.121
0.250 0.075 0.879
```

## Properties
- Calculated total energy: -40.1 eV per formula unit
- E above lowest polymorph: 87 meV per atom
- Mass density: 5.4 g cm⁻³
- Size of the total moment: 0.000 μB/f.u.
- Energy relative to the elements: 0.6 eV/f.u.